This record from Alexandria via LeMat-Bulk describes crystalline MnTlPt2 at its relaxed geometry. The functional is PBE-GGA.

Structure (CIF):
```
data_MnTlPt2
_chemical_formula_sum 'Mn2 Tl2 Pt4'
_symmetry_space_group_name_H-M 'P 1'
_symmetry_Int_Tables_number 1
_cell_length_a 5.883
_cell_length_b 5.883
_cell_length_c 5.883
_cell_angle_alpha 103.05
_cell_angle_beta 103.05
_cell_angle_gamma 123.26
loop_
_symmetry_equiv_pos_as_xyz
'x,y,z'
loop_
_atom_site_label
_atom_site_fract_x
_atom_site_fract_y
_atom_site_fract_z
Mn1 0.000 0.000 0.000
Mn2 0.750 0.250 0.500
Tl1 0.250 0.750 0.500
Tl2 0.500 0.500 0.000
Pt1 0.096 0.625 0.971
Pt2 0.375 0.346 0.471
Pt3 0.654 0.125 0.029
Pt4 0.875 0.904 0.529
```

Computed properties:
Volume   18.7 A^3/atom
D(E_F)   0.42 states/eV per atom
ΔE_f   0.105 eV per atom
Space group   I-42d (122)

***

This record from Alexandria via LeMat-Bulk describes crystalline MnTlPt2 at its relaxed geometry. The functional is PBE-GGA.

Structure (CIF):
```
data_MnTlPt2
_chemical_formula_sum 'Mn1 Tl1 Pt2'
_symmetry_space_group_name_H-M 'P 1'
_symmetry_Int_Tables_number 1
_cell_length_a 2.983
_cell_length_b 4.691
_cell_length_c 4.962
_cell_angle_alpha 90.00
_cell_angle_beta 90.00
_cell_angle_gamma 90.00
loop_
_symmetry_equiv_pos_as_xyz
'x,y,z'
loop_
_atom_site_label
_atom_site_fract_x
_atom_site_fract_y
_atom_site_fract_z
Mn1 0.000 0.000 0.000
Tl1 0.000 0.500 0.402
Pt1 0.500 0.000 0.535
Pt2 0.500 0.500 0.910
```

Computed properties:
Volume   17.4 A^3/atom
D(E_F)   0.49 states/eV per atom
ΔE_f   -0.036 eV per atom
Space group   Pmm2 (25)

***

This record from Alexandria via LeMat-Bulk describes crystalline Mn2TlPt at its relaxed geometry. The functional is PBE-GGA.

Structure (CIF):
```
data_Mn2TlPt
_chemical_formula_sum 'Mn4 Tl2 Pt2'
_symmetry_space_group_name_H-M 'P 1'
_symmetry_Int_Tables_number 1
_cell_length_a 5.928
_cell_length_b 5.928
_cell_length_c 5.928
_cell_angle_alpha 102.96
_cell_angle_beta 102.96
_cell_angle_gamma 123.46
loop_
_symmetry_equiv_pos_as_xyz
'x,y,z'
loop_
_atom_site_label
_atom_site_fract_x
_atom_site_fract_y
_atom_site_fract_z
Mn1 0.092 0.625 0.967
Mn2 0.375 0.342 0.467
Mn3 0.658 0.125 0.033
Mn4 0.875 0.908 0.533
Tl1 0.250 0.750 0.500
Tl2 0.500 0.500 0.000
Pt1 0.000 0.000 0.000
Pt2 0.750 0.250 0.500
```

Computed properties:
Volume   19.1 A^3/atom
D(E_F)   0.77 states/eV per atom
ΔE_f   0.395 eV per atom
Energy above the lowest structure with this stoichiometry   1.21 eV per formula unit
Space group   I-42d (122)

***

This record from Alexandria via LeMat-Bulk describes crystalline Mn2TlPt at its relaxed geometry. The functional is PBE-GGA.

Structure (CIF):
```
data_Mn2TlPt
_chemical_formula_sum 'Mn2 Tl1 Pt1'
_symmetry_space_group_name_H-M 'P 1'
_symmetry_Int_Tables_number 1
_cell_length_a 4.845
_cell_length_b 4.829
_cell_length_c 4.203
_cell_angle_alpha 64.45
_cell_angle_beta 64.05
_cell_angle_gamma 51.51
loop_
_symmetry_equiv_pos_as_xyz
'x,y,z'
loop_
_atom_site_label
_atom_site_fract_x
_atom_site_fract_y
_atom_site_fract_z
Mn1 0.250 0.250 0.250
Mn2 0.750 0.750 0.750
Tl1 0.000 0.000 0.000
Pt1 0.500 0.500 0.500
```

Computed properties:
Volume   16.9 A^3/atom
D(E_F)   0.59 states/eV per atom
ΔE_f   0.125 eV per atom
Energy above the lowest structure with this stoichiometry   0.13 eV per formula unit
Space group   Fmmm (69)

***

This record from Alexandria via LeMat-Bulk describes crystalline Mn2TlPt at its relaxed geometry. The functional is PBE-GGA.

Structure (CIF):
```
data_Mn2TlPt
_chemical_formula_sum 'Mn2 Tl1 Pt1'
_symmetry_space_group_name_H-M 'P 1'
_symmetry_Int_Tables_number 1
_cell_length_a 8.819
_cell_length_b 8.819
_cell_length_c 8.819
_cell_angle_alpha 20.39
_cell_angle_beta 20.39
_cell_angle_gamma 20.39
loop_
_symmetry_equiv_pos_as_xyz
'x,y,z'
loop_
_atom_site_label
_atom_site_fract_x
_atom_site_fract_y
_atom_site_fract_z
Mn1 0.242 0.242 0.242
Mn2 0.758 0.758 0.758
Tl1 0.000 0.000 0.000
Pt1 0.500 0.500 0.500
```

Computed properties:
Volume   18.2 A^3/atom
D(E_F)   1.06 states/eV per atom
ΔE_f   0.276 eV per atom
Energy above the lowest structure with this stoichiometry   0.73 eV per formula unit
Space group   R-3m (166)

***

This record from Alexandria via LeMat-Bulk describes crystalline MnTlPt2 at its relaxed geometry. The functional is PBE-GGA.

Structure (CIF):
```
data_MnTlPt2
_chemical_formula_sum 'Mn1 Tl1 Pt2'
_symmetry_space_group_name_H-M 'P 1'
_symmetry_Int_Tables_number 1
_cell_length_a 4.166
_cell_length_b 4.166
_cell_length_c 3.945
_cell_angle_alpha 90.00
_cell_angle_beta 90.00
_cell_angle_gamma 90.00
loop_
_symmetry_equiv_pos_as_xyz
'x,y,z'
loop_
_atom_site_label
_atom_site_fract_x
_atom_site_fract_y
_atom_site_fract_z
Mn1 0.000 0.000 0.000
Tl1 0.500 0.500 0.000
Pt1 0.000 0.500 0.500
Pt2 0.500 0.000 0.500
```

Computed properties:
Volume   17.1 A^3/atom
D(E_F)   0.35 states/eV per atom
ΔE_f   -0.105 eV per atom
Space group   P4/mmm (123)